PrNd4Sm3: relaxed, PBE.

Unit cell a=7.330 b=7.332 c=10.363 alpha=90.00 beta=90.00 gamma=90.00
Fractional coordinates of all 16 atoms:
Sm1 0.751 0.561 0.250
Nd1 0.000 0.811 0.000
Nd2 0.249 0.561 0.750
Sm2 0.249 0.061 0.250
Nd3 0.249 0.561 0.250
Nd4 0.500 0.310 0.000
Sm3 0.000 0.310 0.000
Pr1 0.500 0.811 0.000
Sm4 0.249 0.061 0.750
Nd5 0.000 0.311 0.500
Sm5 0.000 0.810 0.500
Nd6 0.500 0.810 0.500
Nd7 0.751 0.061 0.250
Nd8 0.751 0.061 0.750
Pr2 0.500 0.311 0.500
Sm6 0.751 0.561 0.750

Calculated values
- volume (A^3/atom) = 34.8
- formation enthalpy at 0 K (eV/atom) = 0.01
- SG = Pmna (53)
- crystal system = orthorhombic